Compound: ZrBe2Br
Source: Alexandria
Functional: PBE
Structure: relaxed

```
ZrBe2Br
1.0
-1.492 0.400 -2.944
1.393 -3.347 -1.160
-4.636 -2.621 1.993
Be Br Zr
2 1 1
Cartesian
-4.302 -2.432 1.850
-2.652 -1.499 1.140
-1.208 -2.129 -1.554
-3.526 -3.439 -0.557
```

Results
Its crystal system is orthorhombic. The total magnetic moment comes out at 0.000 Bohr magnetons per cell.

Compound: ZrBeBr2
Source: Alexandria
Functional: PBE
Structure: relaxed

```
ZrBeBr2
1.0
3.423 0.000 0.000
0.000 3.478 0.010
0.000 -0.058 8.385
Be Br Zr
1 2 1
Cartesian
1.712 3.003 6.052
0.000 3.000 7.444
1.712 1.277 2.693
0.000 1.268 4.800
```

Results
Its crystal system is monoclinic. The total magnetic moment comes out at 0.000 Bohr magnetons per cell.

Compound: ZrBeBr2
Source: Alexandria
Functional: PBE
Structure: relaxed

```
ZrBeBr2
1.0
4.241 0.000 0.000
0.000 4.404 0.000
0.000 0.000 4.404
Be Br Zr
1 2 1
Cartesian
2.121 0.000 2.202
0.000 0.000 0.000
0.000 2.202 2.202
2.121 2.202 0.000
```

Results
Its crystal system is tetragonal. The total magnetic moment comes out at 0.001 Bohr magnetons per cell.

Compound: ZrBe3Br
Source: Alexandria
Functional: PBE
Structure: relaxed

```
ZrBe3Br
1.0
4.368 0.000 0.000
0.000 4.368 0.000
0.000 0.000 4.368
Be Br Zr
3 1 1
Cartesian
0.000 2.184 0.000
0.000 0.000 2.184
2.184 0.000 0.000
0.000 0.000 0.000
2.184 2.184 2.184
```

Results
Its crystal system is cubic. The total magnetic moment comes out at 0.000 Bohr magnetons per cell.

Compound: ZrBe2Br
Source: Alexandria
Functional: PBE
Structure: relaxed

```
ZrBe2Br
1.0
4.761 0.084 -0.002
-1.936 4.351 -0.002
0.001 0.001 3.206
Be Zr Br
2 1 1
Cartesian
0.000 0.000 0.000
1.413 2.218 -0.002
-0.967 2.176 1.602
2.381 0.043 1.602
```

Results
Its crystal system is orthorhombic. The total magnetic moment comes out at 0.001 Bohr magnetons per cell.

Compound: ZrBeBr2
Source: Alexandria
Functional: PBE
Structure: relaxed

```
ZrBeBr2
1.0
-2.714 -3.751 1.710
0.025 -3.327 3.646
-4.153 3.448 5.120
Be Br Zr
1 2 1
Cartesian
-2.333 -0.017 3.304
-3.040 -6.746 5.779
-4.715 -3.539 7.445
-2.865 -2.221 4.540
```

Results
Its crystal system is monoclinic. The total magnetic moment comes out at 0.000 Bohr magnetons per cell.

Compound: ZrBe2Br
Source: Alexandria
Functional: PBE
Structure: relaxed

```
ZrBe2Br
1.0
3.754 0.000 0.000
0.000 3.306 -0.058
0.000 0.103 5.659
Be Br Zr
2 1 1
Cartesian
0.000 0.923 5.259
0.000 0.884 3.201
1.877 0.852 1.400
1.877 2.557 4.201
```

Results
Its crystal system is orthorhombic. The total magnetic moment comes out at 0.000 Bohr magnetons per cell.

Compound: ZrBeBr2
Source: Alexandria
Functional: PBE
Structure: relaxed

```
ZrBeBr2
1.0
-2.232 -4.483 -3.404
-3.521 -4.533 1.930
0.646 6.017 0.212
Be Br Zr
1 2 1
Cartesian
-2.231 -1.487 -1.965
0.000 0.000 0.000
-2.876 -1.512 0.702
-2.877 -4.508 -0.737
```

Results
Its crystal system is tetragonal. The total magnetic moment comes out at 0.000 Bohr magnetons per cell.

no.,mass density (g cm⁻³),uncorrected formation energy (kJ per mole of atoms)
1,4.37,33.8
2,4.33,-49.5
3,5.25,34.8
4,3.95,120.9
5,4.69,42.9
6,3.78,-27.0
7,4.47,25.5
8,5.31,26.3